First-principles (PBE) data for a geometry-optimized Tb2SmThBi4 structure, as listed in Alexandria.

Results
* Fermi-level density of states: 0.228 states/eV per atom
* E: -43.5 eV per formula unit

a = 7.8452 Å, b = 4.5433 Å, c = 7.8540 Å
α = 90.00°, β = 109.47°, γ = 90.00°
Space group P2/m (No. 10)
Unique sites:
Tb: 0.0000 0.0000 0.0000 x1
Tb: 0.0000 0.5000 0.5000 x1
Sm: 0.5000 0.0000 0.5000 x1
Th: 0.5000 0.5000 0.0000 x1
Bi: 0.2434 0.0000 0.7464 x2
Bi: 0.2449 0.5000 0.2493 x2